# 1
Material: BaSbBr2
Method: DFT, PBEsol
State: relaxed

## Properties
Crystal system ... monoclinic
Formation energy from raw total energies ... -4.3 eV per formula unit

Geometry as CIF:
```
data_BaSbBr2
_chemical_formula_sum 'Ba1 Sb1 Br2'
_space_group_name_H-M_alt 'P 1'
_space_group_IT_number 1
_cell_length_a 4.097
_cell_length_b 6.061
_cell_length_c 5.742
_cell_angle_alpha 90.00
_cell_angle_beta 110.74
_cell_angle_gamma 90.00
loop_
_space_group_symop_operation_xyz
'x,y,z'
loop_
_atom_site_label
_atom_site_type_symbol
_atom_site_fract_x
_atom_site_fract_y
_atom_site_fract_z
Ba1 Ba 0.000 0.000 0.000
Sb1 Sb 0.405 0.500 0.810
Br1 Br 0.156 0.500 0.312
Br2 Br 0.713 0.000 0.429
```



# 2
Material: LaZnRe
Method: DFT, PBEsol
State: relaxed

## Properties
Crystal system ... cubic
Relative energy among the computed polymorphs ... 335.3 meV per atom
Formation enthalpy at 0 K ... 18.25 kcal/mol of atoms

Geometry as CIF:
```
data_LaZnRe
_chemical_formula_sum 'La1 Zn1 Re1'
_space_group_name_H-M_alt 'P 1'
_space_group_IT_number 1
_cell_length_a 4.526
_cell_length_b 4.526
_cell_length_c 4.526
_cell_angle_alpha 60.00
_cell_angle_beta 60.00
_cell_angle_gamma 60.00
loop_
_space_group_symop_operation_xyz
'x,y,z'
loop_
_atom_site_label
_atom_site_type_symbol
_atom_site_fract_x
_atom_site_fract_y
_atom_site_fract_z
La1 La 0.000 0.000 0.000
Zn1 Zn 0.750 0.750 0.750
Re1 Re 0.500 0.500 0.500
```